(1)
Material: Ba5P2O2
Method: DFT, PBE-GGA
State: relaxed

Calculated values
total energy: -180.6 eV per cell
total moment: 0.00 μB/atom
formation energy from raw total energies: -1.64 eV per atom
relative energy among the computed polymorphs: 0.0 meV/atom

a b c (Å): 20.557 7.657 7.332
angles (deg): 90.00 90.00 90.00
Space group Ima2 (No. 46)
Asymmetric unit:
Ba  0.015  0.244  0.000
Ba  0.141  0.570  0.786
Ba  0.250  0.120  0.853
P  0.108  0.523  0.238
O  0.000  0.000  0.255
O  0.250  0.069  0.208

---

(2)
Material: USbRu
Method: DFT, PBE-GGA
State: relaxed

Calculated values
total energy: -102.3 eV per cell
total moment: 0.00 μB/atom
formation energy from raw total energies: -0.30 eV per atom
D(E_F): 1.198 states/eV per atom

a b c (Å): 12.008 4.326 4.585
angles (deg): 90.00 94.47 90.00
Space group C2/m (No. 12)
Asymmetric unit:
U  0.077  0.000  0.196
Sb  0.117  0.500  0.727
Ru  0.247  0.500  0.259

---

(3)
Material: TbCe2DySe5
Method: DFT, PBE-GGA
State: relaxed

Calculated values
total energy: -50.1 eV per cell
total moment: 0.38 μB/atom
formation energy from raw total energies: -1.29 eV per atom
D(E_F): 2.157 states/eV per atom

a b c (Å): 5.146 5.146 10.794
angles (deg): 90.00 90.00 90.00
Space group P4/mmm (No. 123)
Asymmetric unit:
Tb  0.000  0.000  0.000
Ce  0.500  0.500  0.303
Dy  0.000  0.000  0.500
Se  0.000  0.000  0.245
Se  0.000  0.500  0.500
Se  0.500  0.500  0.000

---

(4)
Material: CsErAgSe2
Method: DFT, PBE-GGA
State: relaxed

Calculated values
total energy: -41.1 eV per cell
total moment: 0.00 μB/atom
formation energy from raw total energies: -1.06 eV per atom
D(E_F): 0.164 states/eV per atom

a b c (Å): 8.186 4.802 8.210
angles (deg): 90.00 90.40 90.00
Space group P2/c (No. 13)
Asymmetric unit:
Cs  0.000  0.007  0.250
Er  0.500  0.500  0.250
Ag  0.500  0.000  0.000
Se  0.270  0.436  0.998

---

(5)
Material: Rb2NbTlPb
Method: DFT, PBE-GGA
State: relaxed

Calculated values
total energy: -12.1 eV per cell
energy relative to the elements: 1186 meV per atom
total moment: 0.96 μB/atom
D(E_F): 1.100 states/eV per atom

a b c (Å): 6.760 6.760 5.835
angles (deg): 90.00 90.00 90.00
Space group P4/mmm (No. 123)
Asymmetric unit:
Rb  0.000  0.500  0.000
Nb  0.000  0.000  0.500
Tl  0.500  0.500  0.000
Pb  0.500  0.500  0.500

---

(6)
Material: CaPm2Au3
Method: DFT, PBE-GGA
State: relaxed

Calculated values
total energy: -52.2 eV per cell
energy relative to the elements: -795 meV per atom
total moment: 0.00 μB/atom
relative energy among the computed polymorphs: 0.0 meV/atom
D(E_F): 0.757 states/eV per atom

a b c (Å): 5.168 15.710 3.684
angles (deg): 90.00 90.00 90.00
Space group Cmmm (No. 65)
Asymmetric unit:
Ca  0.000  0.000  0.000
Pm  0.000  0.338  0.000
Au  0.000  0.176  0.500
Au  0.000  0.500  0.500

---

(7)
Material: Dy4ErGa15
Method: DFT, PBE-GGA
State: relaxed

Calculated values
total energy: -79.1 eV per cell
energy relative to the elements: -536 meV per atom
total moment: 0.00 μB/atom
D(E_F): 0.414 states/eV per atom

a b c (Å): 4.275 4.275 21.280
angles (deg): 90.00 90.00 90.00
Space group P4/mmm (No. 123)
Asymmetric unit:
Dy  0.000  0.000  0.100
Dy  0.000  0.000  0.301
Er  0.000  0.000  0.500
Ga  0.000  0.500  0.000
Ga  0.000  0.500  0.200
Ga  0.000  0.500  0.401
Ga  0.500  0.500  0.100
Ga  0.500  0.500  0.300
Ga  0.500  0.500  0.500

---

(8)
Material: AcAlGeF
Method: DFT, PBE-GGA
State: relaxed

Calculated values
total energy: -41.9 eV per cell
total moment: 0.00 μB/atom
formation energy from raw total energies: -1.65 eV per atom
D(E_F): 0.456 states/eV per atom

a b c (Å): 4.374 4.374 8.624
angles (deg): 90.00 90.00 90.00
Space group P4/nmm (No. 129, origin choice 2)
Asymmetric unit:
Ac  0.250  0.250  0.185
Al  0.250  0.750  0.500
Ge  0.250  0.250  0.665
F  0.250  0.750  0.000

---

(9)
Material: Ac2HPd
Method: DFT, PBE-GGA
State: relaxed

Calculated values
total energy: -56.3 eV per cell
total moment: 0.00 μB/atom
relative energy among the computed polymorphs: 0.0 meV/atom
D(E_F): 0.768 states/eV per atom

a b c (Å): 4.3357 4.3357 20.0430
angles (deg): 90.00 90.00 120.00
Space group R-3m (No. 166, hexagonal axes)
Asymmetric unit:
Ac  0.0000  0.0000  0.2456
H  0.0000  0.0000  0.5000
Pd  0.0000  0.0000  0.0000

---

(10)
Material: La3ZnHg
Method: DFT, PBE-GGA
State: relaxed

Calculated values
total energy: -71.6 eV per cell
energy relative to the elements: -310 meV per atom
total moment: 0.06 μB/atom
relative energy among the computed polymorphs: 0.0 meV/atom
D(E_F): 1.233 states/eV per atom

a b c (Å): 5.489 19.970 5.490
angles (deg): 90.00 90.00 90.00
Space group Cmcm (No. 63)
Asymmetric unit:
La  0.000  0.063  0.250
La  0.000  0.249  0.250
La  0.000  0.435  0.250
Zn  0.000  0.151  0.750
Hg  0.000  0.346  0.750

---

(11)
Material: Rb3Np3PaTe8
Method: DFT, PBE-GGA
State: relaxed

Calculated values
total energy: -89.3 eV per cell
total moment: 0.31 μB/atom
formation energy from raw total energies: -0.87 eV per atom
D(E_F): 1.463 states/eV per atom

a b c (Å): 9.066 9.096 10.136
angles (deg): 63.44 63.49 60.12
Space group P-1 (No. 2)
Asymmetric unit:
Rb  0.000  0.000  0.000
Rb  0.000  0.500  0.000
Rb  0.500  0.000  0.000
Np  0.000  0.500  0.500
Np  0.500  0.000  0.500
Np  0.500  0.500  0.500
Pa  0.000  0.000  0.500
Te  0.228  0.230  0.302
Te  0.229  0.738  0.303
Te  0.261  0.770  0.698
Te  0.266  0.268  0.701

---

(12)
Material: Cu3Ni2
Method: DFT, PBE-GGA
State: relaxed

Calculated values
total energy: -134.2 eV per cell
energy relative to the elements: 295 meV per atom
total moment: 0.14 μB/atom
relative energy among the computed polymorphs: 290.1 meV/atom
D(E_F): 0.994 states/eV per atom

a b c (Å): 6.9495 6.9495 8.8582
angles (deg): 90.00 90.00 120.00
Space group R-3c (No. 167, hexagonal axes)
Asymmetric unit:
Cu  0.0000  0.3206  0.2500
Ni  0.0000  0.0000  0.1240

---

(13)
Material: La6Ge2Te3Cl
Method: DFT, PBE-GGA
State: relaxed

Calculated values
total energy: -134.1 eV per cell
total moment: 0.00 μB/atom
formation energy from raw total energies: -1.41 eV per atom
D(E_F): 0.433 states/eV per atom

a b c (Å): 19.660 4.462 9.013
angles (deg): 90.00 104.39 90.00
Space group C2/m (No. 12)
Asymmetric unit:
La  0.009  0.000  0.250
La  0.167  0.500  0.103
La  0.172  0.500  0.569
Ge  0.165  0.000  0.328
Te  0.000  0.500  0.500
Te  0.164  0.000  0.834
Cl  0.000  0.500  0.000

---

(14)
Material: AgIr2C
Method: DFT, PBE-GGA
State: relaxed

Calculated values
total energy: -109.9 eV per cell
energy relative to the elements: 579 meV per atom
total moment: 0.00 μB/atom
D(E_F): 0.325 states/eV per atom

a b c (Å): 6.459 6.459 5.528
angles (deg): 90.00 90.00 90.00
Space group I-42d (No. 122)
Asymmetric unit:
Ag  0.000  0.000  0.000
Ir  0.143  0.750  0.625
C  0.000  0.000  0.500

---

(15)
Material: Sn2Se2S
Method: DFT, PBE-GGA
State: relaxed

Calculated values
total energy: -39.4 eV per cell
total moment: 0.00 μB/atom
formation energy from raw total energies: -0.12 eV per atom
relative energy among the computed polymorphs: 214.0 meV/atom
D(E_F): 0.872 states/eV per atom

a b c (Å): 7.837 7.837 3.981
angles (deg): 90.00 90.00 90.00
Space group P4/mbm (No. 127)
Asymmetric unit:
Sn  0.196  0.304  0.000
Se  0.133  0.633  0.500
S  0.000  0.000  0.000

---

(16)
Material: Hf3TaIr
Method: DFT, PBE-GGA
State: relaxed

Calculated values
total energy: -43.9 eV per cell
energy relative to the elements: 1331 meV per atom
total moment: 0.00 μB/atom
relative energy among the computed polymorphs: 748.0 meV/atom
D(E_F): 1.045 states/eV per atom

a b c (Å): 4.957 4.957 4.957
angles (deg): 90.00 90.00 90.00
Space group Pm-3m (No. 221)
Asymmetric unit:
Hf  0.000  0.000  0.500
Ta  0.000  0.000  0.000
Ir  0.500  0.500  0.500

---

(17)
Material: SrSi2Sb2
Method: DFT, PBE-GGA
State: relaxed

Calculated values
total energy: -41.4 eV per cell
total moment: 0.00 μB/atom
formation energy from raw total energies: 0.02 eV per atom
D(E_F): 0.869 states/eV per atom

a b c (Å): 7.901 7.901 3.990
angles (deg): 90.00 90.00 90.00
Space group P4/mbm (No. 127)
Asymmetric unit:
Sr  0.000  0.000  0.000
Si  0.109  0.391  0.000
Sb  0.170  0.670  0.500

---

(18)
Material: Pm6ErTm2Th
Method: DFT, PBE-GGA
State: relaxed

Calculated values
total energy: -192.0 eV per cell
energy relative to the elements: 144 meV per atom
total moment: 0.00 μB/atom
D(E_F): 1.407 states/eV per atom

a b c (Å): 9.368 14.992 9.557
angles (deg): 90.00 96.61 90.00
Space group C2/c (No. 15)
Asymmetric unit:
Pm  0.062  0.174  0.441
Pm  0.094  0.389  0.617
Pm  0.211  0.218  0.812
Er  0.000  0.410  0.250
Tm  0.250  0.047  0.052
Th  0.000  0.032  0.750

---

(19)
Material: Ru2BrCl
Method: DFT, PBE-GGA
State: relaxed

Calculated values
total energy: -37.0 eV per cell
total moment: 0.00 μB/atom
formation energy from raw total energies: 0.89 eV per atom
relative energy among the computed polymorphs: 705.0 meV/atom
D(E_F): 1.517 states/eV per atom

a b c (Å): 2.935 5.509 8.363
angles (deg): 90.00 90.00 90.00
Space group Cmmm (No. 65)
Asymmetric unit:
Ru  0.000  0.000  0.242
Br  0.000  0.500  0.500
Cl  0.000  0.500  0.000

---

(20)
Material: SrIr2Ru2
Method: DFT, PBE-GGA
State: relaxed

Calculated values
total energy: -73.9 eV per cell
energy relative to the elements: 203 meV per atom
total moment: 0.00 μB/atom
D(E_F): 1.043 states/eV per atom

a b c (Å): 4.176 4.176 10.789
angles (deg): 90.00 90.00 90.00
Space group I4/mmm (No. 139)
Asymmetric unit:
Sr  0.000  0.000  0.000
Ir  0.000  0.500  0.250
Ru  0.000  0.000  0.393